Compound: TaAgTe2I
Source: Alexandria
Functional: PBE-GGA
Structure: optimized geometry

Lattice parameters (Å, degrees): 5.397 5.397 5.672 90.00 90.00 90.00
Element x y z (fractional)
Te  0.500  0.000  0.000
Ag  0.500  0.500  0.500
I  0.000  0.000  0.500
Te  0.000  0.500  0.000
Ta  0.000  0.000  0.000

Computed properties:
The value obtained for the energy above the most stable polymorph in this dataset is 0 meV per atom. For the raw formation energy, the calculation gives 1.86 eV/f.u. As for the space-group type: P4/mmm (123).